This record from Alexandria describes a geometry-optimized CaMg2Se structure. The functional is PBE.

abc: 6.0047 6.0047 6.0047
angles: 142.65 126.02 67.48
Fractional coordinates of all 4 atoms:
Se 0.5112 0.5112 0.0000
Ca 0.2897 0.7897 0.5000
Mg 0.9970 0.9970 0.0000
Mg 0.7021 0.2021 0.5000

* total moment: 0.00 μB per formula unit
* energy: -10.76 eV/f.u.